Entry 1:
A plane-wave DFT calculation with GGA-PBE was carried out for crystalline NiH3Os at its relaxed geometry.

```
data_NiH3Os
_cell_length_a 3.222
_cell_length_b 3.222
_cell_length_c 3.222
_cell_angle_alpha 90.00
_cell_angle_beta 90.00
_cell_angle_gamma 90.00
_space_group_name_H-M_alt 'P m -3 m'
_space_group_IT_number 221
_space_group_name_Hall '-P 4 2 3'
loop_
_atom_site_label
_atom_site_fract_x
_atom_site_fract_y
_atom_site_fract_z
Ni1 0.000 0.000 0.000
H1 0.000 0.000 0.500
Os1 0.500 0.500 0.500
```

Results
The crystal system is cubic. For the offset from the most stable computed form, the calculation gives 28 meV/atom. The calculation puts the volume at 33.4 Å³ per cell.

---

Entry 2:
A plane-wave DFT calculation with GGA-PBE was carried out for crystalline NiHOs2 at its relaxed geometry.

```
data_NiHOs2
_cell_length_a 5.649
_cell_length_b 5.649
_cell_length_c 5.649
_cell_angle_alpha 90.00
_cell_angle_beta 90.00
_cell_angle_gamma 90.00
_space_group_name_H-M_alt 'F m -3 m'
_space_group_IT_number 225
_space_group_name_Hall '-F 4 2 3'
loop_
_atom_site_label
_atom_site_fract_x
_atom_site_fract_y
_atom_site_fract_z
Ni1 0.000 0.000 0.000
H1 0.000 0.000 0.500
Os1 0.250 0.250 0.250
```

Results
The crystal system is cubic. For the offset from the most stable computed form, the calculation gives 341 meV/atom. The calculation puts the volume at 180.3 Å³ per cell.

---

Entry 3:
A plane-wave DFT calculation with GGA-PBE was carried out for crystalline NiH3Os at its relaxed geometry.

```
data_NiH3Os
_cell_length_a 3.401
_cell_length_b 3.401
_cell_length_c 3.401
_cell_angle_alpha 90.00
_cell_angle_beta 90.00
_cell_angle_gamma 90.00
_space_group_name_H-M_alt 'P m -3 m'
_space_group_IT_number 221
_space_group_name_Hall '-P 4 2 3'
loop_
_atom_site_label
_atom_site_fract_x
_atom_site_fract_y
_atom_site_fract_z
Ni1 0.000 0.000 0.000
H1 0.000 0.500 0.500
Os1 0.500 0.500 0.500
```

Results
The crystal system is cubic. For the offset from the most stable computed form, the calculation gives 0 meV/atom. The calculation puts the volume at 39.3 Å³ per cell.

---

Entry 4:
A plane-wave DFT calculation with GGA-PBE was carried out for crystalline NiHOs2 at its relaxed geometry.

```
data_NiHOs2
_cell_length_a 5.901
_cell_length_b 5.901
_cell_length_c 5.007
_cell_angle_alpha 90.00
_cell_angle_beta 90.00
_cell_angle_gamma 90.00
_space_group_name_H-M_alt 'I -4 2 d'
_space_group_IT_number 122
_space_group_name_Hall 'I -4 2bw'
loop_
_atom_site_label
_atom_site_fract_x
_atom_site_fract_y
_atom_site_fract_z
Ni1 0.000 0.000 0.000
H1 0.000 0.000 0.500
Os1 0.162 0.250 0.625
```

Results
The crystal system is tetragonal. For the offset from the most stable computed form, the calculation gives 0 meV/atom. The calculation puts the volume at 174.4 Å³ per cell.

---

Entry 5:
A plane-wave DFT calculation with GGA-PBE was carried out for crystalline Ni2HOsPt at its relaxed geometry.

```
data_Ni2HOsPt
_cell_length_a 3.840
_cell_length_b 3.840
_cell_length_c 3.694
_cell_angle_alpha 90.00
_cell_angle_beta 90.00
_cell_angle_gamma 90.00
_space_group_name_H-M_alt 'P 4/m m m'
_space_group_IT_number 123
_space_group_name_Hall '-P 4 2'
loop_
_atom_site_label
_atom_site_fract_x
_atom_site_fract_y
_atom_site_fract_z
Ni1 0.000 0.500 0.000
H1 0.000 0.000 0.000
Os1 0.000 0.000 0.500
Pt1 0.500 0.500 0.500
```

Results
The crystal system is tetragonal. The calculation puts the volume at 54.5 Å³ per cell.

---

Entry 6:
A plane-wave DFT calculation with GGA-PBE was carried out for crystalline Re2NiHOs at its relaxed geometry.

```
data_Re2NiHOs
_cell_length_a 3.882
_cell_length_b 3.882
_cell_length_c 3.830
_cell_angle_alpha 90.00
_cell_angle_beta 90.00
_cell_angle_gamma 90.00
_space_group_name_H-M_alt 'P 4/m m m'
_space_group_IT_number 123
_space_group_name_Hall '-P 4 2'
loop_
_atom_site_label
_atom_site_fract_x
_atom_site_fract_y
_atom_site_fract_z
Re1 0.000 0.500 0.000
Ni1 0.000 0.000 0.500
H1 0.000 0.000 0.000
Os1 0.500 0.500 0.500
```

Results
The crystal system is tetragonal. The calculation puts the volume at 57.7 Å³ per cell.

---

no.,uncorrected energy (eV per cell)
1,-24.3
2,-113.6
3,-24.4
4,-119.0
5,-31.4
6,-44.2